The following is a PBE calculation of a relaxed structure of Pm5Ir2Au2, from Alexandria.

Computed properties:
As for the total DFT energy (no corrections): -6.06 eV/atom.

```
data_Pm5Ir2Au2
_chemical_formula_sum 'Pm20 Ir8 Au8'
_space_group_name_H-M_alt 'C m c e'
_space_group_IT_number 64
_space_group_name_Hall '-C 2ac 2'
_cell_length_a 15.314
_cell_length_b 7.750
_cell_length_c 7.867
_cell_angle_alpha 90.00
_cell_angle_beta 90.00
_cell_angle_gamma 90.00
loop_
_atom_site_label
_atom_site_fract_x
_atom_site_fract_y
_atom_site_fract_z
_atom_site_occupancy
Pm1 0.000 0.000 0.000 1
Pm2 0.128 0.172 0.329 1
Ir1 0.000 0.129 0.629 1
Au1 0.207 0.000 0.000 1
```


The following is a PBE calculation of a relaxed structure of TlCuGe, from Alexandria.

Computed properties:
As for the total DFT energy (no corrections): -3.56 eV/atom.

```
data_TlCuGe
_chemical_formula_sum 'Tl4 Cu4 Ge4'
_space_group_name_H-M_alt 'C 1 m 1'
_space_group_IT_number 8
_cell_length_a 7.005
_cell_length_b 4.066
_cell_length_c 9.978
_cell_angle_alpha 90.00
_cell_angle_beta 103.47
_cell_angle_gamma 90.00
loop_
_space_group_symop_operation_xyz
'x,y,z'
'x,-y,z'
'x+1/2,y+1/2,z'
'x+1/2,-y+1/2,z'
loop_
_atom_site_label
_atom_site_fract_x
_atom_site_fract_y
_atom_site_fract_z
_atom_site_occupancy
Tl1 0.000 0.000 0.000 1
Tl2 0.237 0.000 0.702 1
Cu1 0.132 0.000 0.384 1
Cu2 0.266 0.500 0.288 1
Ge1 0.000 0.500 0.486 1
Ge2 0.406 0.000 0.212 1
```


The following is a PBE calculation of a relaxed structure of K2TeBr, from Alexandria.

Computed properties:
As for the uncorrected formation energy: -1.179 eV/atom.

```
data_K2TeBr
_chemical_formula_sum 'K2 Te1 Br1'
_space_group_name_H-M_alt 'P m m m'
_space_group_IT_number 47
_cell_length_a 3.688
_cell_length_b 4.084
_cell_length_c 8.957
_cell_angle_alpha 90.00
_cell_angle_beta 90.00
_cell_angle_gamma 90.00
loop_
_space_group_symop_operation_xyz
'x,y,z'
'-x,-y,-z'
'-x,-y,z'
'x,y,-z'
'x,-y,-z'
'-x,y,z'
'-x,y,-z'
'x,-y,z'
loop_
_atom_site_label
_atom_site_fract_x
_atom_site_fract_y
_atom_site_fract_z
_atom_site_occupancy
K1 0.000 0.000 0.225 1
Te1 0.500 0.500 0.500 1
Br1 0.500 0.500 0.000 1
```


The following is a PBE calculation of a relaxed structure of TcAsSe2N, from Alexandria.

Computed properties:
As for the uncorrected formation energy: 1.372 eV/atom.

```
data_TcAsSe2N
_chemical_formula_sum 'Tc1 As1 Se2 N1'
_space_group_name_H-M_alt 'P 4/m m m'
_space_group_IT_number 123
_space_group_name_Hall '-P 4 2'
_cell_length_a 4.887
_cell_length_b 4.887
_cell_length_c 4.841
_cell_angle_alpha 90.00
_cell_angle_beta 90.00
_cell_angle_gamma 90.00
loop_
_atom_site_label
_atom_site_fract_x
_atom_site_fract_y
_atom_site_fract_z
_atom_site_occupancy
Tc1 0.000 0.000 0.000 1
As1 0.000 0.000 0.500 1
Se1 0.000 0.500 0.000 1
N1 0.500 0.500 0.500 1
```


The following is a PBE calculation of a relaxed structure of Zr2InNi, from Alexandria.

Computed properties:
As for the total DFT energy (no corrections): -6.57 eV/atom.

```
data_Zr2InNi
_chemical_formula_sum 'Zr4 In2 Ni2'
_space_group_name_H-M_alt 'C m m m'
_space_group_IT_number 65
_space_group_name_Hall '-C 2 2'
_cell_length_a 5.861
_cell_length_b 8.200
_cell_length_c 3.253
_cell_angle_alpha 90.00
_cell_angle_beta 90.00
_cell_angle_gamma 90.00
loop_
_atom_site_label
_atom_site_fract_x
_atom_site_fract_y
_atom_site_fract_z
_atom_site_occupancy
Zr1 0.250 0.250 0.000 1
In1 0.000 0.000 0.500 1
Ni1 0.000 0.500 0.500 1
```


The following is a PBE calculation of a relaxed structure of NaTe2Cl8, from Alexandria.

Computed properties:
As for the uncorrected formation energy: -0.647 eV/atom.

```
data_NaTe2Cl8
_chemical_formula_sum 'Na1 Te2 Cl8'
_space_group_name_H-M_alt 'P -3'
_space_group_IT_number 147
_cell_length_a 8.7657
_cell_length_b 8.7657
_cell_length_c 5.5082
_cell_angle_alpha 90.00
_cell_angle_beta 90.00
_cell_angle_gamma 120.00
loop_
_space_group_symop_operation_xyz
'x,y,z'
'-x,-y,-z'
'-y,x-y,z'
'y,-x+y,-z'
'-x+y,-x,z'
'x-y,x,-z'
loop_
_atom_site_label
_atom_site_fract_x
_atom_site_fract_y
_atom_site_fract_z
_atom_site_occupancy
Na1 0.0000 0.0000 0.0000 1
Te1 0.3333 0.6667 0.7535 1
Cl1 0.1689 0.3407 0.7413 1
Cl2 0.3333 0.6667 0.2488 1
```


The following is a PBE calculation of a relaxed structure of Tb3PmY6Er2, from Alexandria.

Computed properties:
As for the total DFT energy (no corrections): -5.53 eV/atom.

```
data_Tb3PmY6Er2
_chemical_formula_sum 'Tb6 Pm2 Y12 Er4'
_space_group_name_H-M_alt 'C 1 2/m 1'
_space_group_IT_number 12
_cell_length_a 6.174
_cell_length_b 10.683
_cell_length_c 11.814
_cell_angle_alpha 90.00
_cell_angle_beta 99.97
_cell_angle_gamma 90.00
loop_
_space_group_symop_operation_xyz
'x,y,z'
'-x,-y,-z'
'-x,y,-z'
'x,-y,z'
'x+1/2,y+1/2,z'
'-x+1/2,-y+1/2,-z'
'-x+1/2,y+1/2,-z'
'x+1/2,-y+1/2,z'
loop_
_atom_site_label
_atom_site_fract_x
_atom_site_fract_y
_atom_site_fract_z
_atom_site_occupancy
Tb1 0.000 0.000 0.000 1
Tb2 0.000 0.333 0.000 1
Pm1 0.000 0.500 0.500 1
Y1 0.249 0.167 0.250 1
Y2 0.250 0.000 0.750 1
Er1 0.000 0.167 0.500 1
```


The following is a PBE calculation of a relaxed structure of Na2InAgBr6, from Alexandria.

Computed properties:
As for the uncorrected formation energy: -0.864 eV/atom.

```
data_Na2InAgBr6
_chemical_formula_sum 'Na8 In4 Ag4 Br24'
_space_group_name_H-M_alt 'F m -3 m'
_space_group_IT_number 225
_space_group_name_Hall '-F 4 2 3'
_cell_length_a 10.992
_cell_length_b 10.992
_cell_length_c 10.992
_cell_angle_alpha 90.00
_cell_angle_beta 90.00
_cell_angle_gamma 90.00
loop_
_atom_site_label
_atom_site_fract_x
_atom_site_fract_y
_atom_site_fract_z
_atom_site_occupancy
Na1 0.250 0.250 0.250 1
In1 0.000 0.000 0.000 1
Ag1 0.000 0.000 0.500 1
Br1 0.000 0.000 0.246 1
```


The following is a PBE calculation of a relaxed structure of PrSbPd4, from Alexandria.

Computed properties:
As for the uncorrected formation energy: -0.300 eV/atom.

```
data_PrSbPd4
_chemical_formula_sum 'Pr2 Sb2 Pd8'
_space_group_name_H-M_alt 'P 42/n m c'
_space_group_IT_number 137
_cell_length_a 5.381
_cell_length_b 5.381
_cell_length_c 9.367
_cell_angle_alpha 90.00
_cell_angle_beta 90.00
_cell_angle_gamma 90.00
loop_
_space_group_symop_operation_xyz
'x,y,z'
'-x,-y,-z'
'-y+1/2,x,z+1/2'
'y+1/2,-x,-z+1/2'
'-x+1/2,-y+1/2,z'
'x+1/2,y+1/2,-z'
'y,-x+1/2,z+1/2'
'-y,x+1/2,-z+1/2'
'x+1/2,-y,-z'
'-x+1/2,y,z'
'-y,-x,-z+1/2'
'y,x,z+1/2'
'-x,y+1/2,-z'
'x,-y+1/2,z'
'y+1/2,x+1/2,-z+1/2'
'-y+1/2,-x+1/2,z+1/2'
loop_
_atom_site_label
_atom_site_fract_x
_atom_site_fract_y
_atom_site_fract_z
_atom_site_occupancy
Pr1 0.250 0.750 0.250 1
Sb1 0.250 0.750 0.750 1
Pd1 0.012 0.250 0.023 1
```


The following is a PBE calculation of a relaxed structure of Mn2CdCI, from Alexandria.

Computed properties:
As for the uncorrected formation energy: 0.711 eV/atom.

```
data_Mn2CdCI
_chemical_formula_sum 'Mn2 Cd1 C1 I1'
_space_group_name_H-M_alt 'P 4/m m m'
_space_group_IT_number 123
_space_group_name_Hall '-P 4 2'
_cell_length_a 4.004
_cell_length_b 4.004
_cell_length_c 6.802
_cell_angle_alpha 90.00
_cell_angle_beta 90.00
_cell_angle_gamma 90.00
loop_
_atom_site_label
_atom_site_fract_x
_atom_site_fract_y
_atom_site_fract_z
_atom_site_occupancy
Mn1 0.000 0.500 0.000 1
Cd1 0.000 0.000 0.500 1
C1 0.500 0.500 0.000 1
I1 0.500 0.500 0.500 1
```


The following is a PBE calculation of a relaxed structure of TbHo2Pb, from Alexandria.

Computed properties:
As for the total DFT energy (no corrections): -4.65 eV/atom.

```
data_TbHo2Pb
_chemical_formula_sum 'Tb1 Ho2 Pb1'
_space_group_name_H-M_alt 'P 4/m m m'
_space_group_IT_number 123
_space_group_name_Hall '-P 4 2'
_cell_length_a 4.850
_cell_length_b 4.850
_cell_length_c 4.836
_cell_angle_alpha 90.00
_cell_angle_beta 90.00
_cell_angle_gamma 90.00
loop_
_atom_site_label
_atom_site_fract_x
_atom_site_fract_y
_atom_site_fract_z
_atom_site_occupancy
Tb1 0.000 0.000 0.000 1
Ho1 0.000 0.500 0.500 1
Pb1 0.500 0.500 0.000 1
```


The following is a PBE calculation of a relaxed structure of K2CaIO6, from Alexandria.

Computed properties:
As for the uncorrected formation energy: -1.378 eV/atom.

```
data_K2CaIO6
_chemical_formula_sum 'K8 Ca4 I4 O24'
_space_group_name_H-M_alt 'F m -3 m'
_space_group_IT_number 225
_space_group_name_Hall '-F 4 2 3'
_cell_length_a 8.449
_cell_length_b 8.449
_cell_length_c 8.449
_cell_angle_alpha 90.00
_cell_angle_beta 90.00
_cell_angle_gamma 90.00
loop_
_atom_site_label
_atom_site_fract_x
_atom_site_fract_y
_atom_site_fract_z
_atom_site_occupancy
K1 0.250 0.250 0.250 1
Ca1 0.000 0.000 0.000 1
I1 0.000 0.000 0.500 1
O1 0.000 0.000 0.276 1
```


Number 1: DOS(E_F) 35.71 states/eV/cell. Number 2: DOS(E_F) 3.58 states/eV/cell. Number 3: DOS(E_F) 0.79 states/eV/cell. Number 4: DOS(E_F) 5.56 states/eV/cell. Number 5: DOS(E_F) 8.09 states/eV/cell. Number 6: DOS(E_F) 3.24 states/eV/cell. Number 7: DOS(E_F) 33.61 states/eV/cell. Number 8: DOS(E_F) 3.44 states/eV/cell. Number 9: DOS(E_F) 6.93 states/eV/cell. Number 10: DOS(E_F) 4.57 states/eV/cell. Number 11: DOS(E_F) 4.94 states/eV/cell. Number 12: DOS(E_F) 26.03 states/eV/cell.